Record 1
DFT (PBE-GGA) results for a relaxed structure of Tm4Th3Sc4. Values from VASP.

Output
Calculated formation energy, eV/atom: 0.145
Total moment, μB/cell: 0.00
Calculated volume, Å³/f.u.: 322.2

Geometry as Quantum ESPRESSO input:
```
&SYSTEM
  ibrav = 0, nat = 11, ntyp = 3
/
ATOMIC_SPECIES
Sc 44.96 Sc.upf
Th 232.04 Th.upf
Tm 168.93 Tm.upf
CELL_PARAMETERS angstrom
5.4303 0.0000 0.0000
-2.7151 5.8243 0.0000
0.0000 0.0000 10.1859
ATOMIC_POSITIONS angstrom
Sc 2.7151 3.0082 2.1876
Sc 2.7151 4.6073 5.0930
Sc 2.7151 5.2079 0.0000
Sc 2.7151 3.0082 7.9984
Th 0.0000 3.0301 0.0000
Th 0.0000 4.6229 7.1317
Th 0.0000 4.6229 3.0542
Tm 0.0000 1.1606 2.8957
Tm 0.0000 1.1606 7.2903
Tm 2.7151 0.6949 0.0000
Tm 2.7151 1.4747 5.0930
```


Record 2
DFT (PBE-GGA) results for a relaxed structure of Tm8Th2Sc. Values from VASP.

Output
Calculated formation energy, eV/atom: 0.216
Total moment, μB/cell: 0.00
Distance to the lowest polymorph of the same formula, meV/atom: 24
Calculated volume, Å³/f.u.: 338.4

Geometry as Quantum ESPRESSO input:
```
&SYSTEM
  ibrav = 0, nat = 11, ntyp = 3
/
ATOMIC_SPECIES
Sc 44.96 Sc.upf
Tm 168.93 Tm.upf
Th 232.04 Th.upf
CELL_PARAMETERS angstrom
5.6385 1.5791 0.0000
2.5361 8.3927 0.0000
1.2681 4.1964 7.8126
ATOMIC_POSITIONS angstrom
Sc 2.8192 0.7896 0.0000
Tm 2.7439 3.9542 0.0000
Tm 4.2052 11.0393 6.0301
Tm 6.5055 7.3252 6.0301
Tm 4.0873 4.9859 4.5901
Tm 5.3553 9.1823 3.2225
Tm 5.2374 3.1289 1.7825
Tm 5.4306 6.0177 0.0000
Tm 2.9371 6.8430 1.7825
Th 2.5361 8.3927 4.7597
Th 1.2681 4.1964 3.0530
```


Record 3
DFT (PBE-GGA) results for a relaxed structure of Tm4ThSc2. Values from VASP.

Output
Calculated formation energy, eV/atom: 0.182
Total moment, μB/cell: 0.00
Distance to the lowest polymorph of the same formula, meV/atom: 23
Calculated volume, Å³/f.u.: 208.6

Geometry as Quantum ESPRESSO input:
```
&SYSTEM
  ibrav = 0, nat = 28, ntyp = 3
/
ATOMIC_SPECIES
Sc 44.96 Sc.upf
Tm 168.93 Tm.upf
Th 232.04 Th.upf
CELL_PARAMETERS angstrom
6.9146 0.0000 0.0000
0.0000 10.9852 -0.0539
0.0000 0.0820 10.9851
ATOMIC_POSITIONS angstrom
Sc 0.0000 8.2593 2.7060
Sc 0.0000 2.8079 8.2252
Sc 3.4573 2.7667 2.7327
Sc 0.0000 2.7669 2.7329
Sc 0.0000 8.3003 8.1983
Sc 3.4573 8.2596 2.7057
Sc 3.4573 2.8076 8.2255
Sc 3.4573 8.3005 8.1985
Tm 5.1884 8.5834 -0.0415
Tm 1.7311 5.5163 3.0638
Tm 1.7261 3.1339 5.4780
Tm 1.7312 2.4817 10.9726
Tm 1.7261 7.9333 5.4532
Tm 5.1886 5.5164 3.0659
Tm 5.1834 11.0025 2.3458
Tm 5.1834 0.0647 8.5854
Tm 5.1835 3.1317 5.4780
Tm 5.1884 2.4838 10.9727
Tm 1.7262 11.0025 2.3480
Tm 1.7262 0.0647 8.5832
Tm 5.1886 5.5508 7.8653
Tm 5.1835 7.9355 5.4532
Tm 1.7311 5.5509 7.8674
Tm 1.7312 8.5855 -0.0414
Th 3.4646 5.4926 -0.0269
Th 0.0073 5.4926 -0.0269
Th 6.9073 0.0410 5.4925
Th 3.4500 0.0410 5.4925
```


Question: Which formula does entry 1 have?
Answer: Tm4Th3Sc4


Question: total moment of number 1 (Tm4Th3Sc4)?
Answer: 0.00 μB/cell